A plane-wave DFT calculation with PBE was carried out for TmPb2Au after structural relaxation.

Cell: 4.706 4.706 4.543 Å, 90.00 90.00 90.00°
Space group P4/mmm (No. 123)
Unique sites:
Tm 0.000 0.000 0.000 [1 per cell]
Pb 0.000 0.500 0.500 [2 per cell]
Au 0.500 0.500 0.000 [1 per cell]

Properties
The value obtained for the calculated density is 12.882 g cm⁻³. The formation enthalpy at 0 K is -337.4 meV/atom. The calculation puts the density of states at the Fermi level at 2.58 states/eV/cell. Its excess energy over the best structure of this formula in the dataset is 0.000 eV per atom.

=====

A plane-wave DFT calculation with PBE was carried out for Tm5Pb3Au after structural relaxation.

Cell: 9.1657 9.1657 6.6222 Å, 90.00 90.00 120.00°
Space group P6_3/mcm (No. 193)
Unique sites:
Tm 0.0000 0.2628 0.2500 [6 per cell]
Tm 0.3333 0.6667 0.0000 [4 per cell]
Pb 0.0000 0.3882 0.7500 [6 per cell]
Au 0.0000 0.0000 0.0000 [2 per cell]

Properties
The value obtained for the calculated density is 11.465 g cm⁻³. The formation enthalpy at 0 K is -578.2 meV/atom. The calculation puts the density of states at the Fermi level at 13.97 states/eV/cell.

=====

A plane-wave DFT calculation with PBE was carried out for Tm7Pb2Au2 after structural relaxation.

Cell: 3.765 16.055 10.092 Å, 90.00 90.00 90.00°
Space group Imm2 (No. 44)
Unique sites:
Tm 0.000 0.000 0.000 [2 per cell]
Tm 0.000 0.121 0.559 [4 per cell]
Tm 0.000 0.316 0.356 [4 per cell]
Tm 0.000 0.353 0.713 [4 per cell]
Pb 0.000 0.000 0.316 [2 per cell]
Pb 0.000 0.500 0.239 [2 per cell]
Au 0.000 0.242 0.053 [4 per cell]

Properties
The value obtained for the calculated density is 10.839 g cm⁻³. The formation enthalpy at 0 K is -501.5 meV/atom. The calculation puts the density of states at the Fermi level at 20.98 states/eV/cell.

=====

A plane-wave DFT calculation with PBE was carried out for Tm5Pb2Au after structural relaxation.

Cell: 7.903 12.165 4.612 Å, 90.00 90.00 90.00°
Space group Pbam (No. 55)
Unique sites:
Tm 0.000 0.000 0.000 [2 per cell]
Tm 0.156 0.287 0.000 [4 per cell]
Tm 0.185 0.568 0.500 [4 per cell]
Pb 0.070 0.829 0.500 [4 per cell]
Au 0.000 0.500 0.000 [2 per cell]

Properties
The value obtained for the calculated density is 10.906 g cm⁻³. The formation enthalpy at 0 K is -521.9 meV/atom. The calculation puts the density of states at the Fermi level at 9.51 states/eV/cell. Its excess energy over the best structure of this formula in the dataset is 0.000 eV per atom.

=====

A plane-wave DFT calculation with PBE was carried out for Tm5Pb4Au after structural relaxation.

Cell: 9.650 9.650 6.200 Å, 90.00 90.00 90.00°
Space group I4 (No. 79)
Unique sites:
Tm 0.000 0.000 0.000 [2 per cell]
Tm 0.095 0.291 0.634 [8 per cell]
Pb 0.093 0.293 0.138 [8 per cell]
Au 0.000 0.000 0.511 [2 per cell]

Properties
The value obtained for the calculated density is 10.759 g cm⁻³. The formation enthalpy at 0 K is -341.5 meV/atom. The calculation puts the density of states at the Fermi level at 17.07 states/eV/cell.

=====

A plane-wave DFT calculation with PBE was carried out for Tm4PbAu2 after structural relaxation.

Cell: 4.7494 4.7494 30.1541 Å, 90.00 90.00 120.00°
Space group R-3m (No. 166, hexagonal axes)
Unique sites:
Tm 0.0000 0.0000 0.1137 [6 per cell]
Tm 0.0000 0.0000 0.3001 [6 per cell]
Pb 0.0000 0.0000 0.5000 [3 per cell]
Au 0.0000 0.0000 0.3968 [6 per cell]

Properties
The value obtained for the calculated density is 10.798 g cm⁻³. The formation enthalpy at 0 K is -490.1 meV/atom. The calculation puts the density of states at the Fermi level at 19.95 states/eV/cell.

=====

A plane-wave DFT calculation with PBE was carried out for Tm12PbAu6 after structural relaxation.

Cell: 10.006 10.006 10.006 Å, 90.00 90.00 90.00°
Space group Im-3 (No. 204)
Unique sites:
Tm 0.000 0.184 0.293 [24 per cell]
Pb 0.000 0.000 0.000 [2 per cell]
Au 0.000 0.361 0.500 [12 per cell]

Properties
The value obtained for the calculated density is 11.325 g cm⁻³. The formation enthalpy at 0 K is -566.0 meV/atom. The calculation puts the density of states at the Fermi level at 25.10 states/eV/cell.

=====

A plane-wave DFT calculation with PBE was carried out for Tm4PbAu3 after structural relaxation.

Cell: 5.1040 5.1040 25.2004 Å, 90.00 90.00 120.00°
Space group R-3m (No. 166, hexagonal axes)
Unique sites:
Tm 0.0000 0.0000 0.1193 [6 per cell]
Tm 0.0000 0.0000 0.3701 [6 per cell]
Pb 0.0000 0.0000 0.5000 [3 per cell]
Au 0.0000 0.0000 0.0000 [3 per cell]
Au 0.0000 0.0000 0.2503 [6 per cell]

Properties
The value obtained for the calculated density is 12.914 g cm⁻³. The formation enthalpy at 0 K is -741.8 meV/atom. The calculation puts the density of states at the Fermi level at 15.22 states/eV/cell.

=====

A plane-wave DFT calculation with PBE was carried out for TmPb2Au after structural relaxation.

Cell: 3.5294 3.5294 31.9033 Å, 90.00 90.00 120.00°
Space group R-3m (No. 166, hexagonal axes)
Unique sites:
Tm 0.0000 0.0000 0.0000 [3 per cell]
Pb 0.0000 0.0000 0.0979 [6 per cell]
Au 0.0000 0.0000 0.5000 [3 per cell]

Properties
The value obtained for the calculated density is 11.294 g cm⁻³. The formation enthalpy at 0 K is 70.6 meV/atom. The calculation puts the density of states at the Fermi level at 6.89 states/eV/cell. Its excess energy over the best structure of this formula in the dataset is 0.408 eV per atom.

=====

A plane-wave DFT calculation with PBE was carried out for Tm5Pb2Au after structural relaxation.

Cell: 5.696 15.071 14.383 Å, 90.00 90.00 90.00°
Space group Cmcm (No. 63)
Unique sites:
Tm 0.000 0.055 0.120 [8 per cell]
Tm 0.000 0.276 0.750 [4 per cell]
Tm 0.000 0.291 0.087 [8 per cell]
Pb 0.000 0.142 0.573 [8 per cell]
Au 0.000 0.189 0.250 [4 per cell]

Properties
The value obtained for the calculated density is 7.833 g cm⁻³. The formation enthalpy at 0 K is -38.6 meV/atom. The calculation puts the density of states at the Fermi level at 11.94 states/eV/cell. Its excess energy over the best structure of this formula in the dataset is 0.483 eV per atom.

=====

A plane-wave DFT calculation with PBE was carried out for YTmPbAu after structural relaxation.

Cell: 7.401 7.401 7.401 Å, 90.00 90.00 90.00°
Space group F-43m (No. 216)
Unique sites:
Y 0.000 0.000 0.000 [4 per cell]
Tm 0.000 0.000 0.500 [4 per cell]
Pb 0.250 0.250 0.750 [4 per cell]
Au 0.250 0.250 0.250 [4 per cell]

Properties
The value obtained for the calculated density is 10.849 g cm⁻³. The formation enthalpy at 0 K is -601.0 meV/atom. The calculation puts the density of states at the Fermi level at 15.30 states/eV/cell.

=====

A plane-wave DFT calculation with PBE was carried out for UPb2Au after structural relaxation.

Cell: 4.763 4.763 4.464 Å, 90.00 90.00 90.00°
Space group P4/mmm (No. 123)
Unique sites:
U 0.000 0.000 0.000 [1 per cell]
Pb 0.000 0.500 0.500 [2 per cell]
Au 0.500 0.500 0.000 [1 per cell]

Properties
The value obtained for the calculated density is 13.929 g cm⁻³. The formation enthalpy at 0 K is 56.5 meV/atom. The calculation puts the density of states at the Fermi level at 6.27 states/eV/cell.

=====

A plane-wave DFT calculation with PBE was carried out for UPbAu2 after structural relaxation.

Cell: 3.405 3.405 8.146 Å, 90.00 90.00 90.00°
Space group P4/mmm (No. 123)
Unique sites:
U 0.000 0.000 0.000 [1 per cell]
Pb 0.000 0.000 0.500 [1 per cell]
Au 0.500 0.500 0.235 [2 per cell]

Properties
The value obtained for the calculated density is 14.753 g cm⁻³. The formation enthalpy at 0 K is -67.2 meV/atom. The calculation puts the density of states at the Fermi level at 7.89 states/eV/cell.

=====

A plane-wave DFT calculation with PBE was carried out for UPbAu2 after structural relaxation.

Cell: 4.778 4.778 4.140 Å, 90.00 90.00 90.00°
Space group P4/mmm (No. 123)
Unique sites:
U 0.000 0.000 0.000 [1 per cell]
Pb 0.500 0.500 0.000 [1 per cell]
Au 0.000 0.500 0.500 [2 per cell]

Properties
The value obtained for the calculated density is 14.741 g cm⁻³. The formation enthalpy at 0 K is 13.4 meV/atom. The calculation puts the density of states at the Fermi level at 7.23 states/eV/cell.

=====

A plane-wave DFT calculation with PBE was carried out for UZnPbAu after structural relaxation.

Cell: 7.129 7.129 7.129 Å, 90.00 90.00 90.00°
Space group F-43m (No. 216)
Unique sites:
U 0.000 0.000 0.000 [4 per cell]
Zn 0.250 0.250 0.250 [4 per cell]
Pb 0.000 0.000 0.500 [4 per cell]
Au 0.250 0.250 0.750 [4 per cell]

Properties
The value obtained for the calculated density is 12.973 g cm⁻³. The formation enthalpy at 0 K is 62.6 meV/atom. The calculation puts the density of states at the Fermi level at 30.98 states/eV/cell.

=====

A plane-wave DFT calculation with PBE was carried out for VPb3Au after structural relaxation.

Cell: 5.517 5.517 5.517 Å, 90.00 90.00 90.00°
Space group Pm-3m (No. 221)
Unique sites:
V 0.000 0.000 0.000 [1 per cell]
Pb 0.000 0.500 0.500 [3 per cell]
Au 0.500 0.500 0.500 [1 per cell]

Properties
The value obtained for the calculated density is 8.598 g cm⁻³. The formation enthalpy at 0 K is 850.3 meV/atom. The calculation puts the density of states at the Fermi level at 10.10 states/eV/cell. Its excess energy over the best structure of this formula in the dataset is 0.391 eV per atom.

=====

A plane-wave DFT calculation with PBE was carried out for VPbAu after structural relaxation.

Cell: 3.220 3.220 12.655 Å, 90.00 90.00 90.00°
Space group P4/mmm (No. 123)
Unique sites:
V 0.000 0.000 0.124 [2 per cell]
Pb 0.500 0.500 0.282 [2 per cell]
Au 0.500 0.500 0.000 [1 per cell]
Au 0.500 0.500 0.500 [1 per cell]

Properties
The value obtained for the calculated density is 11.522 g cm⁻³. The formation enthalpy at 0 K is 292.2 meV/atom. The calculation puts the density of states at the Fermi level at 4.36 states/eV/cell.

=====

A plane-wave DFT calculation with PBE was carried out for VPb3Au after structural relaxation.

Cell: 5.287 5.287 5.287 Å, 90.00 90.00 90.00°
Space group Pm-3m (No. 221)
Unique sites:
V 0.000 0.000 0.000 [1 per cell]
Pb 0.000 0.000 0.500 [3 per cell]
Au 0.500 0.500 0.500 [1 per cell]

Properties
The value obtained for the calculated density is 9.770 g cm⁻³. The formation enthalpy at 0 K is 459.1 meV/atom. The calculation puts the density of states at the Fermi level at 3.74 states/eV/cell. Its excess energy over the best structure of this formula in the dataset is 0.000 eV per atom.

=====

A plane-wave DFT calculation with PBE was carried out for VPb2Au after structural relaxation.

Cell: 7.180 7.180 7.180 Å, 90.00 90.00 90.00°
Space group Fm-3m (No. 225)
Unique sites:
V 0.000 0.000 0.000 [4 per cell]
Pb 0.250 0.250 0.250 [8 per cell]
Au 0.000 0.000 0.500 [4 per cell]

Properties
The value obtained for the calculated density is 11.886 g cm⁻³. The formation enthalpy at 0 K is 397.6 meV/atom. The calculation puts the density of states at the Fermi level at 17.02 states/eV/cell. Its excess energy over the best structure of this formula in the dataset is 0.000 eV per atom.

=====

A plane-wave DFT calculation with PBE was carried out for VPb2Au after structural relaxation.

Cell: 7.950 7.950 6.274 Å, 90.00 90.00 90.00°
Space group I-42d (No. 122)
Unique sites:
V 0.000 0.000 0.000 [4 per cell]
Pb 0.244 0.250 0.625 [8 per cell]
Au 0.000 0.000 0.500 [4 per cell]

Properties
The value obtained for the calculated density is 11.094 g cm⁻³. The formation enthalpy at 0 K is 497.9 meV/atom. The calculation puts the density of states at the Fermi level at 20.52 states/eV/cell. Its excess energy over the best structure of this formula in the dataset is 0.100 eV per atom.